Entry 1:
Material: HfTl2InCl6
Method: DFT, GGA-PBE
State: optimized geometry

The structure in CIF format:
```
data_HfTl2InCl6
_symmetry_space_group_name_H-M 'P m m n'
_symmetry_Int_Tables_number 59
_cell_length_a 7.112
_cell_length_b 10.822
_cell_length_c 9.063
_cell_angle_alpha 90.00
_cell_angle_beta 90.00
_cell_angle_gamma 90.00
loop_
_symmetry_equiv_pos_as_xyz
'x,y,z'
'-x,-y,-z'
'-x+1/2,-y+1/2,z'
'x+1/2,y+1/2,-z'
'x+1/2,-y,-z'
'-x+1/2,y,z'
'-x,y+1/2,-z'
'x,-y+1/2,z'
loop_
_atom_site_label
_atom_site_type_symbol
_atom_site_fract_x
_atom_site_fract_y
_atom_site_fract_z
_atom_site_occupancy
Hf1 Hf 0.250 0.250 0.188 1
Tl1 Tl 0.250 0.535 0.825 1
In1 In 0.250 0.750 0.329 1
Cl1 Cl 0.001 0.250 0.377 1
Cl2 Cl 0.007 0.250 0.989 1
Cl3 Cl 0.250 0.020 0.182 1
```

Calculated values
Total moment   0.000 μB per formula unit
Raw formation energy   -1.2097 eV/atom
V   34.9 Å³ per atom
DFT total energy   -0.14921 hartree per atom



Entry 2:
Material: HfTlIn2Cl8
Method: DFT, GGA-PBE
State: optimized geometry

The structure in CIF format:
```
data_HfTlIn2Cl8
_symmetry_space_group_name_H-M 'P -1'
_symmetry_Int_Tables_number 2
_cell_length_a 6.518
_cell_length_b 6.896
_cell_length_c 8.845
_cell_angle_alpha 90.01
_cell_angle_beta 90.12
_cell_angle_gamma 91.21
loop_
_symmetry_equiv_pos_as_xyz
'x,y,z'
'-x,-y,-z'
loop_
_atom_site_label
_atom_site_type_symbol
_atom_site_fract_x
_atom_site_fract_y
_atom_site_fract_z
_atom_site_occupancy
Hf1 Hf 0.000 0.000 0.000 1
Tl1 Tl 0.000 0.000 0.500 1
In1 In 0.499 0.500 0.253 1
Cl1 Cl 0.209 0.708 0.000 1
Cl2 Cl 0.224 0.142 0.802 1
Cl3 Cl 0.225 0.142 0.199 1
Cl4 Cl 0.295 0.639 0.500 1
```

Calculated values
Total moment   0.001 μB per formula unit
Raw formation energy   -1.2641 eV/atom
V   33.1 Å³ per atom
DFT total energy   -0.14620 hartree per atom



Entry 3:
Material: HfTlInCl6
Method: DFT, GGA-PBE
State: optimized geometry

The structure in CIF format:
```
data_HfTlInCl6
_symmetry_space_group_name_H-M 'P -3 1 c'
_symmetry_Int_Tables_number 163
_symmetry_space_group_name_Hall '-P 3 2c'
_cell_length_a 7.6550
_cell_length_b 7.6550
_cell_length_c 12.1558
_cell_angle_alpha 90.00
_cell_angle_beta 90.00
_cell_angle_gamma 120.00
loop_
_atom_site_label
_atom_site_type_symbol
_atom_site_fract_x
_atom_site_fract_y
_atom_site_fract_z
_atom_site_occupancy
Hf1 Hf 0.3333 0.6667 0.2500 1
Tl1 Tl 0.3333 0.6667 0.7500 1
In1 In 0.0000 0.0000 0.0000 1
Cl1 Cl 0.0720 0.4016 0.1327 1
```

Calculated values
Total moment   0.000 μB per formula unit
Raw formation energy   -1.4724 eV/atom
V   34.3 Å³ per atom
DFT total energy   -0.16084 hartree per atom